Tc4As | GGA-PBE | optimized geometry

The value obtained for the offset from the most stable computed form is 236 meV per atom. The calculation puts the formation enthalpy at 0 K at 1.311 eV/atom.

The space group is Pm-3m (No. 221) and the conventional cell measures 4.480, 4.480 and 4.480 Å, with angles of 90.00, 90.00 and 90.00 degrees. The inequivalent atoms are Tc at (0.000, 0.000, 0.000), Tc at (0.000, 0.500, 0.500) and As at (0.500, 0.500, 0.500).

Tc2As | GGA-PBE | optimized geometry

The value obtained for the offset from the most stable computed form is 164 meV per atom. The calculation puts the formation enthalpy at 0 K at 0.026 eV/atom.

The space group is P-3m1 (No. 164) and the conventional cell measures 4.2456, 4.2456 and 2.8409 Å, with angles of 90.00, 90.00 and 120.00 degrees. The inequivalent atoms are Tc at (0.3333, 0.6667, 0.2448) and As at (0.0000, 0.0000, 0.0000).